Crystalline Rb2CuAu at its relaxed geometry. Source: Alexandria via LeMat-Bulk, functional PBE.

Unit cell a=5.9116 b=5.9116 c=5.9116 alpha=60.00 beta=60.00 gamma=60.00
With the nearest neighbours (Å) after each atom.
Sites, in units of the cell vectors:
Au1 0.5000 0.5000 0.5000  8 Rb 3.62
Cu1 0.0000 0.0000 0.0000  8 Rb 3.62
Rb1 0.2500 0.2500 0.2500  4 Au 3.62, 4 Cu 3.62
Rb2 0.7500 0.7500 0.7500  4 Au 3.62, 4 Cu 3.62

Calculated values
space group: Fm-3m
M_tot: 0.000 μB per atom
calculated formation energy: 10.6 kJ per mole of atoms
total energy: -8.9 eV per cell
volume: 36.52 Å³ per atom